<a>
Here is a relaxed SiPAuI crystal from Alexandria. Energies are from PBE.

Cell and atoms, written as CIF:
```
data_SiPAuI
_chemical_formula_sum 'Si1 P1 Au1 I1'
_cell_length_a 3.6522
_cell_length_b 3.6556
_cell_length_c 8.4871
_cell_angle_alpha 97.07
_cell_angle_beta 90.88
_cell_angle_gamma 119.95
_symmetry_space_group_name_H-M 'P 1'
_symmetry_Int_Tables_number 1
_symmetry_space_group_name_Hall 'P 1'
loop_
_atom_site_label
_atom_site_type_symbol
_atom_site_fract_x
_atom_site_fract_y
_atom_site_fract_z
Si1 Si 0.0000 0.0000 0.0000
P1 P 0.6451 0.2979 0.8753
Au1 Au 0.6232 0.2325 0.1943
I1 I 0.7181 0.4034 0.5152
```

Output
volume	97.0	Å³/cell

=====

<b>
Here is a relaxed SiPAuI crystal from Alexandria. Energies are from PBE.

Cell and atoms, written as CIF:
```
data_SiPAuI
_chemical_formula_sum 'Si2 P2 Au2 I2'
_cell_length_a 5.1481
_cell_length_b 5.4864
_cell_length_c 6.6907
_cell_angle_alpha 90.00
_cell_angle_beta 90.00
_cell_angle_gamma 90.00
_symmetry_space_group_name_H-M 'I m m 2'
_symmetry_Int_Tables_number 44
_symmetry_space_group_name_Hall 'I 2 -2'
loop_
_atom_site_label
_atom_site_type_symbol
_atom_site_fract_x
_atom_site_fract_y
_atom_site_fract_z
Si1 Si 0.0000 0.0000 0.0000
P1 P 0.0000 0.0000 0.3554
Au1 Au 0.0000 0.5000 0.4237
I1 I 0.0000 0.5000 0.9346
```

Output
volume	189.0	Å³/cell

=====

Of the structures shown above, <b> is the least stable.